1.
The following is a PBE-GGA calculation of a relaxed Al2TlGe2 crystal, from Alexandria via LeMat-Bulk.

```
5
Lattice="4.4038 0.0000 0.0000 0.0000 4.4038 0.0000 2.2019 2.2019 5.6945" Properties=species:S:1:pos:R:3 pbc="T T T"
Al 2.2019 2.2019 1.3069
Al 4.4038 4.4038 4.3876
Tl 0.0000 0.0000 0.0000
Ge 2.2019 4.4038 2.8472
Ge 4.4038 2.2019 2.8472
```

Energy   -18.5 eV for the cell shown
Spin magnetization   0.000 μB/f.u.



2.
The following is a PBE-GGA calculation of a relaxed Sc4ZnFe crystal, from Alexandria via LeMat-Bulk.

```
6
Lattice="4.9477 0.0000 0.0000 2.4738 4.2780 0.2533 2.4738 1.0912 5.9071" Properties=species:S:1:pos:R:3 pbc="T T T"
Fe 0.0000 0.0000 0.0000
Sc 7.4215 4.1540 2.4273
Sc 2.4738 1.4231 0.1268
Sc 7.4215 3.9461 6.0336
Sc 2.4738 1.2152 3.7331
Zn 4.9477 2.6846 3.0802
```

Energy   -35.1 eV for the cell shown
Spin magnetization   0.000 μB/f.u.



3.
The following is a PBE-GGA calculation of a relaxed PrDy2Ga crystal, from Alexandria via LeMat-Bulk.

```
4
Lattice="-0.4905 -3.5918 -0.0256 -0.2233 -1.8213 3.1266 -10.4640 -0.4086 1.1164" Properties=species:S:1:pos:R:3 pbc="T T T"
Dy -8.7849 -4.3115 3.1663
Dy -2.3928 -1.5103 1.0511
Ga 0.0000 0.0000 0.0000
Pr -5.5889 -2.9109 2.1087
```

Energy   -17.8 eV for the cell shown
Spin magnetization   0.000 μB/f.u.



4.
The following is a PBE-GGA calculation of a relaxed TbY8Tm6 crystal, from Alexandria via LeMat-Bulk.

```
15
Lattice="-6.5544 0.1267 0.1595 -0.2646 -8.2681 -4.3061 0.2345 0.4011 9.3144" Properties=species:S:1:pos:R:3 pbc="T T T"
Y -0.5205 0.0641 6.3215
Y -0.6779 -2.4185 1.8254
Y -5.2791 -2.3853 4.9044
Y -6.0641 -7.8044 -1.1537
Y -5.9625 -2.6680 -1.0572
Y -1.3055 -5.3551 0.2635
Y -0.6221 -5.0724 6.2251
Y -5.9067 -5.3218 3.3424
Tb -3.2772 0.0633 0.0798
Tm -2.6536 -4.5658 3.8309
Tm -2.5271 -2.2470 7.1864
Tm -4.0016 -7.2412 1.6685
Tm -4.0576 -5.4934 -2.0186
Tm -2.5830 -0.4991 3.4993
Tm -3.9311 -3.1745 1.3370
```

Energy   -79.4 eV for the cell shown
Spin magnetization   0.000 μB/f.u.



5.
The following is a PBE-GGA calculation of a relaxed Tl4W crystal, from Alexandria via LeMat-Bulk.

```
5
Lattice="-3.2923 -2.3961 3.5968 4.1414 -0.4561 3.4869 -1.2359 4.8547 2.1028" Properties=species:S:1:pos:R:3 pbc="T T T"
Tl -2.2641 1.2293 2.8498
Tl 0.0000 0.0000 0.0000
Tl 1.4527 2.1993 2.7949
Tl 0.4245 -1.4261 3.5419
W -0.1934 1.0013 4.5933
```

Energy   -19.1 eV for the cell shown
Spin magnetization   0.001 μB/f.u.



6.
The following is a PBE-GGA calculation of a relaxed Mg2NiAu2 crystal, from Alexandria via LeMat-Bulk.

```
10
Lattice="7.5033 0.0000 0.0000 0.0000 7.5033 0.0000 0.0000 0.0000 3.1188" Properties=species:S:1:pos:R:3 pbc="T T T"
Au 1.1160 4.8677 1.5594
Au 4.8677 6.3873 1.5594
Au 6.3873 2.6356 1.5594
Au 2.6356 1.1160 1.5594
Mg 1.1318 2.6199 0.0000
Mg 2.6199 6.3715 0.0000
Mg 6.3715 4.8835 0.0000
Mg 4.8835 1.1318 0.0000
Ni 3.7517 3.7517 0.0000
Ni 0.0000 0.0000 0.0000
```

Energy   -32.3 eV for the cell shown
Spin magnetization   0.000 μB/f.u.



7.
The following is a PBE-GGA calculation of a relaxed ThZnCo2 crystal, from Alexandria via LeMat-Bulk.

```
4
Lattice="-2.6077 -1.1569 -2.1273 1.4883 -3.9811 0.3408 -2.4906 -0.6399 3.4012" Properties=species:S:1:pos:R:3 pbc="T T T"
Zn -1.8050 -2.8890 0.8074
Co 0.7441 -1.9906 0.1704
Co -1.2453 -0.3200 1.7006
Th -1.3039 -0.5785 -1.0636
```

Energy   -23.3 eV for the cell shown
Spin magnetization   0.000 μB/f.u.



8.
The following is a PBE-GGA calculation of a relaxed Sr6BiP2 crystal, from Alexandria via LeMat-Bulk.

```
9
Lattice="5.3268 0.0000 0.0000 -2.6634 4.6132 0.0000 0.0000 0.0000 13.1043" Properties=species:S:1:pos:R:3 pbc="T T T"
Sr 0.0000 0.0000 3.6070
Sr 0.0000 3.0754 11.7507
Sr 0.0000 0.0000 9.4973
Sr 0.0000 3.0754 5.5479
Sr 2.6634 1.5377 7.5564
Sr 2.6634 1.5377 1.3535
P 0.0000 3.0754 8.6466
P 2.6634 1.5377 4.4577
Bi 0.0000 0.0000 0.0000
```

Energy   -31.6 eV for the cell shown
Spin magnetization   0.000 μB/f.u.